Here is an optimized crystal structure of Sr2Li3AgSb4 from Alexandria. Energies are from PBE.

Output
Its uncorrected formation energy is -677.0 meV/atom. The density of states at the Fermi level is 3.398 states/eV/cell.

Cell: 4.594 4.594 11.997 Å, 90.00 90.00 90.00°
Fractional coordinates of all 10 atoms:
Sb (0.500, 0.500, 0.000)
Sr (0.500, 0.000, 0.260)
Sb (0.000, 0.000, 0.000)
Sb (0.500, 0.000, 0.642)
Sb (0.000, 0.500, 0.358)
Sr (0.000, 0.500, 0.740)
Li (0.000, 0.000, 0.500)
Li (0.000, 0.500, 0.137)
Li (0.500, 0.000, 0.863)
Ag (0.500, 0.500, 0.500)


Here is an optimized crystal structure of LiAgSbTe2 from Alexandria. Energies are from PBE.

Output
Its uncorrected formation energy is 335.1 meV/atom. The density of states at the Fermi level is 3.785 states/eV/cell.

Cell: 5.202 5.202 4.892 Å, 90.00 90.00 90.00°
Fractional coordinates of all 5 atoms:
Li (0.000, 0.000, 0.000)
Ag (0.500, 0.500, 0.500)
Te (0.500, 0.000, 0.000)
Sb (0.000, 0.000, 0.500)
Te (0.000, 0.500, 0.000)


Here is an optimized crystal structure of LiAgSbTe3 from Alexandria. Energies are from PBE.

Output
Its uncorrected formation energy is -270.3 meV/atom. The density of states at the Fermi level is 5.965 states/eV/cell.

Cell: 4.252 11.236 7.463 Å, 103.11 90.00 90.00°
Fractional coordinates of all 12 atoms:
Te (0.750, 0.822, 0.010)
Sb (0.750, 0.334, 0.876)
Te (0.250, 0.499, 0.740)
Li (0.250, 0.338, 0.352)
Te (0.250, 0.178, 0.990)
Sb (0.250, 0.666, 0.124)
Ag (0.750, 0.936, 0.388)
Te (0.750, 0.195, 0.477)
Te (0.750, 0.501, 0.260)
Ag (0.250, 0.064, 0.612)
Te (0.250, 0.805, 0.523)
Li (0.750, 0.662, 0.648)


Here is an optimized crystal structure of LiAgSbTe2 from Alexandria. Energies are from PBE.

Output
Its uncorrected formation energy is 283.6 meV/atom. The density of states at the Fermi level is 3.322 states/eV/cell.

Cell: 5.627 5.627 5.245 Å, 90.00 90.00 90.00°
Fractional coordinates of all 5 atoms:
Sb (0.000, 0.000, 0.500)
Te (0.500, 0.000, 0.000)
Li (0.500, 0.500, 0.500)
Te (0.000, 0.500, 0.000)
Ag (0.000, 0.000, 0.000)


Here is an optimized crystal structure of LiTiAgSb from Alexandria. Energies are from PBE.

Output
Its uncorrected formation energy is -210.0 meV/atom. The density of states at the Fermi level is 5.467 states/eV/cell.

Cell: 4.704 4.704 4.704 Å, 60.00 60.00 60.00°
Fractional coordinates of all 4 atoms:
Li (0.750, 0.750, 0.750)
Ag (0.000, 0.000, 0.000)
Ti (0.250, 0.250, 0.250)
Sb (0.500, 0.500, 0.500)


Here is an optimized crystal structure of Li2TlAg2Sb2 from Alexandria. Energies are from PBE.

Output
Its uncorrected formation energy is -244.2 meV/atom. The density of states at the Fermi level is 1.912 states/eV/cell.

Cell: 4.670 4.670 9.171 Å, 75.25 75.25 60.00°
Fractional coordinates of all 7 atoms:
Sb (0.751, 0.751, 0.747)
Sb (0.249, 0.249, 0.253)
Li (0.138, 0.138, 0.585)
Ag (0.557, 0.557, 0.330)
Li (0.862, 0.862, 0.415)
Tl (0.000, 0.000, 0.000)
Ag (0.443, 0.443, 0.670)


Number 1: total energy -3.5216 eV/atom. Number 2: total energy -2.6991 eV/atom. Number 3: total energy -3.3224 eV/atom. Number 4: total energy -2.7505 eV/atom. Number 5: total energy -4.4056 eV/atom. Number 6: total energy -3.1216 eV/atom.